First-principles (GGA-PBE) data for an optimized crystal structure of ScTiTeN2, as listed in the Alexandria database.

Structure (POSCAR):
```
ScTiTeN2
1.0
-3.009 -2.603 -0.314
0.912 -1.487 3.590
-3.383 3.626 2.362
Sc N Te Ti
1 2 1 1
direct
0.500 0.500 0.500
0.000 0.500 0.000
0.500 0.000 0.000
0.000 0.000 0.500
0.000 0.000 0.000
```

Results
Calculated density ... 4.71 Mg/m³
Electronic total energy ... -6.9554 eV/atom
Energy above the lowest structure with this stoichiometry ... 0.000 eV/atom